A plane-wave DFT calculation with GGA-PBE was carried out for an optimized crystal structure of Ho3CoNi3.

Computed properties:
formation energy	-373.6	meV per atom
density	9.311	g/cm³

a b c (Å): 5.437 5.437 13.956
angles (deg): 107.25 107.25 41.71
Fractional coordinates of all 14 atoms:
Ho: 0.043 0.043 0.273
Ho: 0.174 0.174 0.576
Ho: 0.321 0.321 0.901
Ho: 0.679 0.679 0.099
Ho: 0.826 0.826 0.424
Ho: 0.957 0.957 0.727
Co: 0.398 0.398 0.128
Co: 0.602 0.602 0.872
Ni: 0.054 0.054 0.939
Ni: 0.327 0.327 0.271
Ni: 0.462 0.462 0.576
Ni: 0.538 0.538 0.424
Ni: 0.673 0.673 0.729
Ni: 0.946 0.946 0.061